Entry from Alexandria via LeMat-Bulk: a crystal of Pb2Au relaxed with PBEsol (meta-GGA SCAN).

## Properties
**Electronic total energy**: -441.30 eV for the cell shown
**Volume**: 75 Å³/f.u.
**Space-group type**: P6_3/mmc, No. 194
**Formation energy**: 0.023 eV/atom
**Spin magnetization**: 0.0 μB/cell

abc: 5.1699 5.1699 6.4590
angles: 90.00 90.00 120.00
Fractional positions:
Pb 0.0000 0.0000 0.0000
Pb 0.0000 0.0000 0.5000
Pb 0.6667 0.3333 0.7500
Pb 0.3333 0.6667 0.2500
Au 0.3333 0.6667 0.7500
Au 0.6667 0.3333 0.2500